# 1
Density functional theory data (PBE) for Cr2CuHg after structural relaxation.

It has space group R-3m (No. 166, hexagonal axes), with a = 2.9674 Å, b = 2.9674 Å, c = 25.9366 Å, α = 90.00°, β = 90.00° and γ = 120.00°. Symmetry generates all atoms from Cr at (0.0000, 0.0000, 0.2425), Cu at (0.0000, 0.0000, 0.5000) and Hg at (0.0000, 0.0000, 0.0000).

The total magnetization comes out at 7.0 μB/f.u. For the formation energy, the calculation gives 705 meV per atom. Its density of states at the Fermi level is 15.64 states/eV per cell.

# 2
Density functional theory data (PBE) for Cr2CuHg after structural relaxation.

It has space group P4/mmm (No. 123), with a = 3.873 Å, b = 3.873 Å, c = 4.125 Å, α = 90.00°, β = 90.00° and γ = 90.00°. Symmetry generates all atoms from Cr at (0.000, 0.500, 0.000), Cu at (0.000, 0.000, 0.500) and Hg at (0.500, 0.500, 0.500).

The total magnetization comes out at 0.0 μB/f.u. For the formation energy, the calculation gives 372 meV per atom. Its density of states at the Fermi level is 2.60 states/eV per cell.

# 3
Density functional theory data (PBE) for CrCu2Hg after structural relaxation.

It has space group I-42d (No. 122), with a = 7.124 Å, b = 7.124 Å, c = 5.379 Å, α = 90.00°, β = 90.00° and γ = 90.00°. Symmetry generates all atoms from Cr at (0.000, 0.000, 0.000), Cu at (0.242, 0.750, 0.125) and Hg at (0.000, 0.000, 0.500).

The total magnetization comes out at 4.1 μB/f.u. For the formation energy, the calculation gives 582 meV per atom. Its density of states at the Fermi level is 6.82 states/eV per cell.

# 4
Density functional theory data (PBE) for CrCu2Hg after structural relaxation.

It has space group R3m (No. 160, hexagonal axes), with a = 2.9320 Å, b = 2.9320 Å, c = 25.5002 Å, α = 90.00°, β = 90.00° and γ = 120.00°. Symmetry generates all atoms from Cr at (0.0000, 0.0000, 0.0000), Cu at (0.0000, 0.0000, 0.2561), Cu at (0.0000, 0.0000, 0.5157) and Hg at (0.0000, 0.0000, 0.7604).

The total magnetization comes out at 3.6 μB/f.u. For the formation energy, the calculation gives 462 meV per atom. Its density of states at the Fermi level is 7.05 states/eV per cell.

# 5
Density functional theory data (PBE) for CrCu2Hg after structural relaxation.

It has space group P4mm (No. 99), with a = 3.135 Å, b = 3.135 Å, c = 6.212 Å, α = 90.00°, β = 90.00° and γ = 90.00°. Symmetry generates all atoms from Cr at (0.000, 0.000, 0.000), Cu at (0.000, 0.000, 0.430), Cu at (0.500, 0.500, 0.232) and Hg at (0.500, 0.500, 0.705).

The total magnetization comes out at 3.7 μB/f.u. For the formation energy, the calculation gives 305 meV per atom. Its density of states at the Fermi level is 1.88 states/eV per cell.

# 6
Density functional theory data (PBE) for Cr2CuHg after structural relaxation.

It has space group F-43m (No. 216), with a = 6.303 Å, b = 6.303 Å, c = 6.303 Å, α = 90.00°, β = 90.00° and γ = 90.00°. Symmetry generates all atoms from Cr at (0.000, 0.000, 0.000), Cr at (0.250, 0.250, 0.250), Cu at (0.250, 0.250, 0.750) and Hg at (0.000, 0.000, 0.500).

The total magnetization comes out at 0.0 μB/f.u. For the formation energy, the calculation gives 426 meV per atom. Its density of states at the Fermi level is 12.81 states/eV per cell.

# 7
Density functional theory data (PBE) for Cr2CuHg after structural relaxation.

It has space group C2/m (No. 12), with a = 9.325 Å, b = 2.995 Å, c = 4.374 Å, α = 90.00°, β = 105.58° and γ = 90.00°. Symmetry generates all atoms from Cr at (0.241, 0.000, 0.170), Cu at (0.000, 0.500, 0.000) and Hg at (0.000, 0.000, 0.500).

The total magnetization comes out at 0.0 μB/f.u. For the formation energy, the calculation gives 527 meV per atom. Its density of states at the Fermi level is 5.11 states/eV per cell.

# 8
Density functional theory data (PBE) for Cr2CuHg after structural relaxation.

It has space group I-42d (No. 122), with a = 3.572 Å, b = 3.572 Å, c = 19.189 Å, α = 90.00°, β = 90.00° and γ = 90.00°. Symmetry generates all atoms from Cr at (0.190, 0.250, 0.125), Cu at (0.000, 0.000, 0.000) and Hg at (0.000, 0.000, 0.500).

The total magnetization comes out at 0.0 μB/f.u. For the formation energy, the calculation gives 880 meV per atom. Its density of states at the Fermi level is 12.92 states/eV per cell.